Record 1
# Tb4Dy3Er | the Alexandria database | PBE | optimized geometry
# ΔE to the lowest computed polymorph in eV per atom: 0.0000
# E_form in meV per atom: 9
data_Tb4Dy3Er
_space_group_name_H-M_alt 'P m n 21'
_space_group_IT_number 31
_space_group_name_Hall 'P 2ac -2'
_cell_length_a 11.2337
_cell_length_b 7.2441
_cell_length_c 6.2648
_cell_angle_alpha 90.00
_cell_angle_beta 90.00
_cell_angle_gamma 90.00
loop_
_atom_site_label
_atom_site_fract_x
_atom_site_fract_y
_atom_site_fract_z
Tb1 0.0000 0.1254 0.0000
Tb2 0.0000 0.8742 0.4992
Tb3 0.2495 0.8742 0.8328
Dy1 0.0000 0.3755 0.4995
Dy2 0.2499 0.3758 0.8323
Er1 0.0000 0.6241 0.9997

Record 2
# Ba8NiPdAu2 | the Alexandria database | PBE | optimized geometry
# E_form in meV per atom: -358
data_Ba8NiPdAu2
_space_group_name_H-M_alt 'P 1 2/m 1'
_space_group_IT_number 10
_space_group_name_Hall '-P 2y'
_cell_length_a 7.5994
_cell_length_b 9.5316
_cell_length_c 7.7952
_cell_angle_alpha 90.00
_cell_angle_beta 90.17
_cell_angle_gamma 90.00
loop_
_atom_site_label
_atom_site_fract_x
_atom_site_fract_y
_atom_site_fract_z
Ba1 0.2177 0.2451 0.3287
Ba2 0.2636 0.0000 0.8132
Ba3 0.2678 0.5000 0.8184
Ni1 0.0000 0.0000 0.5000
Pd1 0.0000 0.5000 0.5000
Au1 0.5000 0.2482 0.0000

Record 3
# BaNpNbN3 | the Alexandria database | PBE | optimized geometry
# E_form (uncorrected) in meV/atom: -770
data_BaNpNbN3
_space_group_name_H-M_alt 'P 1 21/m 1'
_space_group_IT_number 11
_space_group_name_Hall '-P 2yb'
_cell_length_a 7.8487
_cell_length_b 3.6406
_cell_length_c 8.3630
_cell_angle_alpha 90.00
_cell_angle_beta 101.14
_cell_angle_gamma 90.00
loop_
_atom_site_label
_atom_site_fract_x
_atom_site_fract_y
_atom_site_fract_z
Ba1 0.1772 0.2500 0.1877
Np1 0.3642 0.7500 0.8527
Nb1 0.1110 0.2500 0.5990
N1 0.1454 0.2500 0.8397
N2 0.1651 0.7500 0.5018
N3 0.4441 0.7500 0.1130

Record 4
# Zn6Cu2Ag | the Alexandria database | PBE | optimized geometry
# ΔE to the lowest computed polymorph in eV per atom: 0.0000
# E_form in meV per atom: 6
data_Zn6Cu2Ag
_space_group_name_H-M_alt 'C 1 2/m 1'
_space_group_IT_number 12
_space_group_name_Hall '-C 2y'
_cell_length_a 11.5846
_cell_length_b 2.7140
_cell_length_c 9.5338
_cell_angle_alpha 90.00
_cell_angle_beta 115.71
_cell_angle_gamma 90.00
loop_
_atom_site_label
_atom_site_fract_x
_atom_site_fract_y
_atom_site_fract_z
Zn1 0.0228 0.0000 0.2076
Zn2 0.1477 0.5000 0.0430
Zn3 0.2375 0.5000 0.3749
Cu1 0.1569 0.5000 0.7688
Ag1 0.0000 0.0000 0.5000

Record 5
# Cd5Hg2Bi | the Alexandria database | PBE | optimized geometry
# ΔE to the lowest computed polymorph in eV per atom: 0.1615
# E_form in meV per atom: 201
data_Cd5Hg2Bi
_space_group_name_H-M_alt 'P 4/m m m'
_space_group_IT_number 123
_space_group_name_Hall '-P 4 2'
_cell_length_a 7.0606
_cell_length_b 7.0606
_cell_length_c 5.8782
_cell_angle_alpha 90.00
_cell_angle_beta 90.00
_cell_angle_gamma 90.00
loop_
_atom_site_label
_atom_site_fract_x
_atom_site_fract_y
_atom_site_fract_z
Cd1 0.0000 0.0000 0.0000
Cd2 0.2967 0.2967 0.5000
Hg1 0.0000 0.5000 0.0000
Bi1 0.0000 0.0000 0.5000

Record 6
# CdAgAs2 | the Alexandria database | PBE | optimized geometry
# E_form in meV per atom: 184
data_CdAgAs2
_space_group_name_H-M_alt 'P 4/m m m'
_space_group_IT_number 123
_space_group_name_Hall '-P 4 2'
_cell_length_a 3.8505
_cell_length_b 3.8505
_cell_length_c 5.6199
_cell_angle_alpha 90.00
_cell_angle_beta 90.00
_cell_angle_gamma 90.00
loop_
_atom_site_label
_atom_site_fract_x
_atom_site_fract_y
_atom_site_fract_z
Cd1 0.0000 0.0000 0.0000
Ag1 0.0000 0.0000 0.5000
As1 0.5000 0.5000 0.2806

Record 7
# KReSi2 | the Alexandria database | PBE | optimized geometry
# ΔE to the lowest computed polymorph in eV per atom: 1.2965
# E_form (uncorrected) in meV/atom: 1372
data_KReSi2
_space_group_name_H-M_alt 'F -4 3 m'
_space_group_IT_number 216
_space_group_name_Hall 'F -4 2 3'
_cell_length_a 6.4517
_cell_length_b 6.4517
_cell_length_c 6.4517
_cell_angle_alpha 90.00
_cell_angle_beta 90.00
_cell_angle_gamma 90.00
loop_
_atom_site_label
_atom_site_fract_x
_atom_site_fract_y
_atom_site_fract_z
K1 0.0000 0.0000 0.0000
Re1 0.2500 0.2500 0.2500
Si1 0.0000 0.0000 0.5000
Si2 0.2500 0.2500 0.7500

Record 8
# PmSn2Au | the Alexandria database | PBE | optimized geometry
# ΔE to the lowest computed polymorph in eV per atom: 0.0000
# E_form in meV per atom: -602
data_PmSn2Au
_space_group_name_H-M_alt 'P 4/n m m'
_space_group_IT_number 129
_cell_length_a 4.5538
_cell_length_b 4.5538
_cell_length_c 9.6515
_cell_angle_alpha 90.00
_cell_angle_beta 90.00
_cell_angle_gamma 90.00
loop_
_space_group_symop_operation_xyz
'x,y,z'
'-x,-y,-z'
'-y+1/2,x,z'
'y+1/2,-x,-z'
'-x+1/2,-y+1/2,z'
'x+1/2,y+1/2,-z'
'y,-x+1/2,z'
'-y,x+1/2,-z'
'x+1/2,-y,-z'
'-x+1/2,y,z'
'-y,-x,-z'
'y,x,z'
'-x,y+1/2,-z'
'x,-y+1/2,z'
'y+1/2,x+1/2,-z'
'-y+1/2,-x+1/2,z'
loop_
_atom_site_label
_atom_site_fract_x
_atom_site_fract_y
_atom_site_fract_z
Pm1 0.2500 0.2500 0.2384
Sn1 0.2500 0.2500 0.8110
Sn2 0.2500 0.7500 0.5000
Au1 0.2500 0.7500 0.0000

Record 9
# PuTlAs2 | the Alexandria database | PBE | optimized geometry
# ΔE to the lowest computed polymorph in eV per atom: 0.0654
# E_form in meV per atom: -380
data_PuTlAs2
_space_group_name_H-M_alt 'P 4/m m m'
_space_group_IT_number 123
_space_group_name_Hall '-P 4 2'
_cell_length_a 4.7508
_cell_length_b 4.7508
_cell_length_c 3.9424
_cell_angle_alpha 90.00
_cell_angle_beta 90.00
_cell_angle_gamma 90.00
loop_
_atom_site_label
_atom_site_fract_x
_atom_site_fract_y
_atom_site_fract_z
Pu1 0.0000 0.0000 0.0000
Tl1 0.5000 0.5000 0.0000
As1 0.0000 0.5000 0.5000

Record 10
# Ta2SiOs | the Alexandria database | PBE | optimized geometry
# E_form (uncorrected) in meV/atom: -350
data_Ta2SiOs
_space_group_name_H-M_alt 'A m m 2'
_space_group_IT_number 38
_space_group_name_Hall 'A 2 -2'
_cell_length_a 3.8129
_cell_length_b 3.1356
_cell_length_c 10.8122
_cell_angle_alpha 90.00
_cell_angle_beta 90.00
_cell_angle_gamma 90.00
loop_
_atom_site_label
_atom_site_fract_x
_atom_site_fract_y
_atom_site_fract_z
Ta1 0.0000 0.0000 0.0000
Ta2 0.5000 0.0000 0.3384
Si1 0.0000 0.0000 0.7507
Os1 0.5000 0.0000 0.6054

Record 11
# LaSm5Dy | the Alexandria database | PBE | optimized geometry
# ΔE to the lowest computed polymorph in eV per atom: 0.0000
# E_form in meV per atom: 200
data_LaSm5Dy
_space_group_name_H-M_alt 'P -1'
_space_group_IT_number 2
_space_group_name_Hall '-P 1'
_cell_length_a 6.3084
_cell_length_b 6.3092
_cell_length_c 7.0190
_cell_angle_alpha 99.40
_cell_angle_beta 99.53
_cell_angle_gamma 111.97
loop_
_atom_site_label
_atom_site_fract_x
_atom_site_fract_y
_atom_site_fract_z
La1 0.0000 0.0000 0.0000
Sm1 0.0931 0.5272 0.2718
Sm2 0.4718 0.9068 0.7280
Sm3 0.5000 0.5000 0.0000
Dy1 0.0000 0.0000 0.5000

Record 12
# MnSnRuS | the Alexandria database | PBE | optimized geometry
# ΔE to the lowest computed polymorph in eV per atom: 0.1148
# E_form (uncorrected) in meV/atom: -86
data_MnSnRuS
_space_group_name_H-M_alt 'R 3 m'
_space_group_IT_number 160
_space_group_name_Hall 'R 3 -2"'
_cell_length_a 3.1774
_cell_length_b 3.1774
_cell_length_c 21.1873
_cell_angle_alpha 90.00
_cell_angle_beta 90.00
_cell_angle_gamma 120.00
loop_
_atom_site_label
_atom_site_fract_x
_atom_site_fract_y
_atom_site_fract_z
Mn1 0.0000 0.0000 0.0000
Sn1 0.0000 0.0000 0.4345
Ru1 0.0000 0.0000 0.8697
S1 0.0000 0.0000 0.6070

Record 13
# CeTm4Zn5 | the Alexandria database | PBE | optimized geometry
# E_form in meV per atom: -315
data_CeTm4Zn5
_space_group_name_H-M_alt 'P 4/m m m'
_space_group_IT_number 123
_space_group_name_Hall '-P 4 2'
_cell_length_a 3.5187
_cell_length_b 3.5187
_cell_length_c 17.9013
_cell_angle_alpha 90.00
_cell_angle_beta 90.00
_cell_angle_gamma 90.00
loop_
_atom_site_label
_atom_site_fract_x
_atom_site_fract_y
_atom_site_fract_z
Ce1 0.0000 0.0000 0.0000
Tm1 0.0000 0.0000 0.2055
Tm2 0.0000 0.0000 0.4019
Zn1 0.5000 0.5000 0.1100
Zn2 0.5000 0.5000 0.3031
Zn3 0.5000 0.5000 0.5000

Record 14
# ZrMo2Ir | the Alexandria database | PBE | optimized geometry
# ΔE to the lowest computed polymorph in eV per atom: 0.0000
# E_form in meV per atom: -197
data_ZrMo2Ir
_space_group_name_H-M_alt 'P 4 m m'
_space_group_IT_number 99
_space_group_name_Hall 'P 4 -2'
_cell_length_a 3.2541
_cell_length_b 3.2541
_cell_length_c 6.4055
_cell_angle_alpha 90.00
_cell_angle_beta 90.00
_cell_angle_gamma 90.00
loop_
_atom_site_label
_atom_site_fract_x
_atom_site_fract_y
_atom_site_fract_z
Zr1 0.0000 0.0000 0.0000
Mo1 0.0000 0.0000 0.5056
Mo2 0.5000 0.5000 0.7266
Ir1 0.5000 0.5000 0.2481

Record 15
# MgHg2GeSe4 | the Alexandria database | PBE | optimized geometry
# E_form (uncorrected) in meV/atom: -395
data_MgHg2GeSe4
_space_group_name_H-M_alt 'P m n 21'
_space_group_IT_number 31
_space_group_name_Hall 'P 2ac -2'
_cell_length_a 8.8899
_cell_length_b 7.5342
_cell_length_c 7.1979
_cell_angle_alpha 90.00
_cell_angle_beta 90.00
_cell_angle_gamma 90.00
loop_
_atom_site_label
_atom_site_fract_x
_atom_site_fract_y
_atom_site_fract_z
Mg1 0.0000 0.1731 0.0000
Hg1 0.2492 0.6685 0.9989
Ge1 0.0000 0.8325 0.4987
Se1 0.0000 0.1674 0.3639
Se2 0.0000 0.8474 0.8808
Se3 0.2406 0.3287 0.8762